Material: Ta2MnO6
Method: DFT, GGA+U
State: optimized geometry

Unit cell a=18.1841 b=18.1841 c=5.1775 alpha=90.30 beta=90.30 gamma=149.24
Closest atoms and distances in Å follow each position.
Fractional positions:
Ta: 0.0498 0.4380 0.7569  5 O 1.91-2.09
Ta: 0.0573 0.9427 0.7500  6 O 1.96-2.08
Ta: 0.1166 0.3918 0.2435  4 O 1.84-2.01
Ta: 0.2244 0.2824 0.7568  3 O 1.82-1.98
Ta: 0.2778 0.7222 0.2500  6 O 1.97-2.08
Ta: 0.2824 0.2244 0.2568  3 O 1.82-1.98
Ta: 0.3918 0.1166 0.7435  4 O 1.84-2.01
Ta: 0.4380 0.0498 0.2569  5 O 1.91-2.09
Ta: 0.5620 0.9502 0.7431  5 O 1.91-2.09
Ta: 0.6082 0.8834 0.2565  4 O 1.84-2.01
Ta: 0.7176 0.7756 0.7432  3 O 1.82-1.98
Ta: 0.7222 0.2778 0.7500  6 O 1.97-2.08
Ta: 0.7756 0.7176 0.2432  3 O 1.82-1.98
Ta: 0.8834 0.6082 0.7565  4 O 1.84-2.01
Ta: 0.9427 0.0573 0.2500  6 O 1.96-2.08
Ta: 0.9502 0.5620 0.2431  5 O 1.91-2.09
Mn: 0.1158 0.8842 0.2500  6 O 2.16-2.40
Mn: 0.2214 0.7786 0.7500  6 O 2.10-2.30
Mn: 0.3882 0.6118 0.7500  6 O 2.14-2.24
Mn: 0.4438 0.5562 0.2500  6 O 2.17-2.26
Mn: 0.5562 0.4438 0.7500  6 O 2.17-2.26
Mn: 0.6118 0.3882 0.2500  6 O 2.14-2.24
Mn: 0.7786 0.2214 0.2500  6 O 2.10-2.30
Mn: 0.8842 0.1158 0.7500  6 O 2.16-2.40
O: 0.0051 0.7009 0.4413  2 Ta 2.01-2.02, 1 Mn 2.16
O: 0.0124 0.2176 0.1080  2 Ta 1.94-2.08
O: 0.0454 0.6743 0.9392  1 Ta 1.91, 1 Mn 2.10
O: 0.0521 0.1738 0.5759  2 Ta 1.98-1.99
O: 0.1062 0.1505 0.0818  2 Ta 1.96-2.10
O: 0.1133 0.6474 0.3837  2 Ta 1.95-2.08
O: 0.1505 0.1062 0.5818  2 Ta 1.96-2.10
O: 0.1607 0.6148 0.9230  2 Ta 1.99-2.00
O: 0.1738 0.0521 0.0759  2 Ta 1.98-1.99
O: 0.1802 0.5555 0.4168  2 Ta 1.97-2.16
O: 0.2050 0.5032 0.9282  2 Ta 1.95-2.09, 1 Mn 2.14
O: 0.2176 0.0124 0.6080  2 Ta 1.94-2.08
O: 0.2731 0.4820 0.4011  1 Ta 1.84
O: 0.2991 0.9949 0.0587  2 Ta 2.01-2.02, 1 Mn 2.16
O: 0.3121 0.4383 0.9007  1 Ta 1.82
O: 0.3257 0.9546 0.5608  1 Ta 1.91, 1 Mn 2.10
O: 0.3304 0.3638 0.4377  2 Ta 1.95-2.06
O: 0.3526 0.8867 0.1163  2 Ta 1.95-2.08
O: 0.3638 0.3304 0.9377  2 Ta 1.95-2.06
O: 0.3852 0.8393 0.5770  2 Ta 1.99-2.00
O: 0.4383 0.3121 0.4007  1 Ta 1.82
O: 0.4445 0.8198 0.0832  2 Ta 1.97-2.16
O: 0.4820 0.2731 0.9011  1 Ta 1.84
O: 0.4968 0.7950 0.5718  2 Ta 1.95-2.09, 1 Mn 2.14
O: 0.5032 0.2050 0.4282  2 Ta 1.95-2.09, 1 Mn 2.14
O: 0.5180 0.7269 0.0989  1 Ta 1.84
O: 0.5555 0.1802 0.9168  2 Ta 1.97-2.16
O: 0.5617 0.6879 0.5993  1 Ta 1.82
O: 0.6148 0.1607 0.4230  2 Ta 1.99-2.00
O: 0.6362 0.6696 0.0623  2 Ta 1.95-2.06
O: 0.6474 0.1133 0.8837  2 Ta 1.95-2.08
O: 0.6696 0.6362 0.5623  2 Ta 1.95-2.06
O: 0.6743 0.0454 0.4392  1 Ta 1.91, 1 Mn 2.10
O: 0.6879 0.5617 0.0993  1 Ta 1.82
O: 0.7009 0.0051 0.9413  2 Ta 2.01-2.02, 1 Mn 2.16
O: 0.7269 0.5180 0.5989  1 Ta 1.84
O: 0.7824 0.9876 0.3920  2 Ta 1.94-2.08
O: 0.7950 0.4968 0.0718  2 Ta 1.95-2.09, 1 Mn 2.14
O: 0.8198 0.4445 0.5832  2 Ta 1.97-2.16
O: 0.8262 0.9479 0.9241  2 Ta 1.98-1.99
O: 0.8393 0.3852 0.0770  2 Ta 1.99-2.00
O: 0.8495 0.8938 0.4182  2 Ta 1.96-2.10
O: 0.8867 0.3526 0.6163  2 Ta 1.95-2.08
O: 0.8938 0.8495 0.9182  2 Ta 1.96-2.10
O: 0.9479 0.8262 0.4241  2 Ta 1.98-1.99
O: 0.9546 0.3257 0.0608  1 Ta 1.91, 1 Mn 2.10
O: 0.9876 0.7824 0.8920  2 Ta 1.94-2.08
O: 0.9949 0.2991 0.5587  2 Ta 2.01-2.02, 1 Mn 2.16

DFT total energy	-676.60	eV/cell
total magnetic moment	5.00	μB per formula unit
energy above the most stable polymorph in this dataset	10	meV per atom